(1)
DFT (GGA-PBE) results for TlCdSn2 after structural relaxation.

Properties
Total energy (Ry per atom): -0.2026
Magnetization (μB/f.u.): 0.000

Structure (POSCAR):
```
TlCdSn2
1.0
3.176 0.000 0.000
0.000 3.271 0.000
0.000 0.000 10.927
Tl Cd Sn
1 1 2
Direct
0.500 0.489 0.000
0.000 0.488 0.500
0.000 0.989 0.740
0.000 0.989 0.260
```

***

(2)
DFT (GGA-PBE) results for TlCdSn after structural relaxation.

Properties
Total energy (Ry per atom): -0.1759
Magnetization (μB/f.u.): 0.000

Structure (POSCAR):
```
TlCdSn
1.0
3.284 -0.012 -0.014
0.056 5.427 0.032
0.092 2.686 4.711
Tl Sn Cd
1 1 1
Direct
0.492 0.313 0.122
0.991 0.979 0.789
0.991 0.646 0.455
```

***

(3)
DFT (GGA-PBE) results for TlCd2Sn after structural relaxation.

Properties
Total energy (Ry per atom): -0.1452
Magnetization (μB/f.u.): 0.000

Structure (POSCAR):
```
TlCd2Sn
1.0
-1.134 1.833 -2.860
-3.508 0.440 -0.569
-1.362 8.919 4.015
Tl Sn Cd
1 1 2
Direct
0.500 0.500 0.500
0.000 0.000 0.000
0.252 0.252 0.244
0.748 0.748 0.756
```